Record 1
First-principles (PBE) data for a relaxed structure of CsPu2Br5, as listed in the Alexandria database.

Output
**Formation energy without anion corrections**: -1.51 eV per atom
**D(E_F)**: 3.4456 states/eV per atom
**Total magnetic moment**: 12.0 μB per formula unit
**Space-group type**: Immm, No. 71

a b c (Å): 4.5431 9.1186 9.1186
angles (deg): 49.47 75.58 75.58
Last column: magnetic moment on the atom in μB.
Atoms (fractional coordinates):
Pu (0.8120, 0.6880, 0.6880)  5.76
Pu (0.1880, 0.3120, 0.3120)  5.76
Br (0.3445, 0.9164, 0.3946)  -0.03
Br (0.0000, 0.5000, 0.5000)  -0.03
Br (0.6555, 0.6054, 0.0836)  -0.03
Br (0.3445, 0.3946, 0.9164)  -0.03
Br (0.6555, 0.0836, 0.6054)  -0.03
Cs (0.0000, 0.0000, 0.0000)  0.01

***

Record 2
First-principles (PBE) data for a relaxed structure of TlTe2H2, as listed in the Alexandria database.

Output
**D(E_F)**: 0.3116 states/eV per atom
**Total magnetic moment**: 0.0 μB per formula unit
**Polymorph energy (0 for the lowest one)**: 75 meV per atom
**Space-group type**: C2/m, No. 12

a b c (Å): 5.0356 4.3241 7.2314
angles (deg): 106.89 90.00 125.61
Atoms (fractional coordinates):
Tl (0.0000, 0.0000, 0.0000)
Te (0.7273, 0.4546, 0.3088)
Te (0.2727, 0.5454, 0.6912)
H (0.4772, 0.9544, 0.2791)
H (0.5228, 0.0456, 0.7209)

***

Record 3
First-principles (PBE) data for a relaxed structure of Ca3PmCu, as listed in the Alexandria database.

Output
**Energy of formation from the pure elements**: 0.1403 eV per atom
**D(E_F)**: 1.2592 states/eV per atom
**Total magnetic moment**: 0.0 μB per formula unit
**Space-group type**: Pm-3m, No. 221

a b c (Å): 5.6133 5.6133 5.6133
angles (deg): 90.00 90.00 90.00
Atoms (fractional coordinates):
Pm (0.5000, 0.5000, 0.5000)
Ca (0.5000, 0.0000, 0.0000)
Ca (0.0000, 0.5000, 0.0000)
Ca (0.0000, 0.0000, 0.5000)
Cu (0.0000, 0.0000, 0.0000)

***

> The lowest D(E_F) belongs to which entry?

TlTe2H2

***

> Look up the total magnetic moment of the third one.

0.0 μB per formula unit